## DyGa2CuNi4 (PBE)

Data for a geometry-optimized DyGa2CuNi4 structure.

Lattice parameters (Å, degrees): 8.309 8.309 8.309 28.31 28.31 28.31
Sites, in units of the cell vectors:
Dy (0.000, 0.000, 0.000)
Ga (0.238, 0.238, 0.238)
Ga (0.762, 0.762, 0.762)
Cu (0.500, 0.500, 0.500)
Ni (0.128, 0.128, 0.128)
Ni (0.403, 0.403, 0.403)
Ni (0.597, 0.597, 0.597)
Ni (0.872, 0.872, 0.872)

Calculated values
Its volume is 14.25 Å³ per atom. The formation energy is -351.6 meV per atom. The space group is R-3m, No. 166.

---

## GaCuPtRh (PBE)

Data for a geometry-optimized GaCuPtRh structure.

Lattice parameters (Å, degrees): 4.287 4.287 4.287 60.00 60.00 60.00
Sites, in units of the cell vectors:
Ga (0.000, 0.000, 0.000)
Cu (0.500, 0.500, 0.500)
Pt (0.750, 0.750, 0.750)
Rh (0.250, 0.250, 0.250)

Calculated values
Its volume is 13.93 Å³ per atom. The formation energy is -467.2 meV per atom. The space group is F-43m, No. 216.

---

## Cs2FeRhCl6 (PBE)

Data for a geometry-optimized Cs2FeRhCl6 structure.

Lattice parameters (Å, degrees): 7.116 7.116 7.116 120.09 120.09 89.84
Sites, in units of the cell vectors:
Cs (0.250, 0.750, 0.500)
Cs (0.750, 0.250, 0.500)
Fe (0.000, 0.000, 0.000)
Rh (0.500, 0.500, 0.000)
Cl (0.244, 0.244, 0.000)
Cl (0.248, 0.248, 0.496)
Cl (0.248, 0.752, 0.000)
Cl (0.752, 0.248, 0.000)
Cl (0.752, 0.752, 0.504)
Cl (0.756, 0.756, 0.000)

Calculated values
The value obtained for the uncorrected formation energy is -105.9 kJ/mol of atoms. Its volume is 25.44 Å³ per atom. The space group is I4/mmm, No. 139.

---

## Nb3AlCo (PBE)

Data for a geometry-optimized Nb3AlCo structure.

Lattice parameters (Å, degrees): 4.591 4.591 4.591 90.00 90.00 90.00
Sites, in units of the cell vectors:
Nb (0.000, 0.000, 0.500)
Nb (0.000, 0.500, 0.000)
Nb (0.500, 0.000, 0.000)
Al (0.500, 0.500, 0.500)
Co (0.000, 0.000, 0.000)

Calculated values
Its volume is 19.35 Å³ per atom. The formation energy is 547.2 meV per atom. The space group is Pm-3m, No. 221.

---

## SrGdInPb (PBE)

Data for a geometry-optimized SrGdInPb structure.

Lattice parameters (Å, degrees): 5.604 5.604 5.604 60.00 60.00 60.00
Sites, in units of the cell vectors:
Sr (0.000, 0.000, 0.000)
Gd (0.500, 0.500, 0.500)
In (0.750, 0.750, 0.750)
Pb (0.250, 0.250, 0.250)

Calculated values
Its volume is 31.11 Å³ per atom. The formation energy is -420.0 meV per atom. The space group is F-43m, No. 216.

---

## CaAcAs2 (PBE)

Data for a geometry-optimized CaAcAs2 structure.

Lattice parameters (Å, degrees): 7.345 7.345 7.345 35.87 35.87 35.87
Sites, in units of the cell vectors:
Ca (0.000, 0.000, 0.000)
Ac (0.500, 0.500, 0.500)
As (0.254, 0.254, 0.254)
As (0.746, 0.746, 0.746)

Calculated values
Its volume is 30.41 Å³ per atom. The formation energy is -1131.7 meV per atom. The space group is R-3m, No. 166.

---

## FeHg2Sb (PBE)

Data for a geometry-optimized FeHg2Sb structure.

Lattice parameters (Å, degrees): 4.762 4.762 6.951 109.17 109.17 38.36
Sites, in units of the cell vectors:
Fe (0.000, 0.000, 0.000)
Hg (0.360, 0.360, 0.642)
Hg (0.559, 0.559, 0.358)
Sb (0.719, 0.719, 0.998)

Calculated values
The value obtained for the uncorrected formation energy is 27.5 kJ/mol of atoms. Its volume is 22.93 Å³ per atom. The space group is Cm, No. 8.

---

## TbGeO (PBE)

Data for a geometry-optimized TbGeO structure.

Lattice parameters (Å, degrees): 6.184 6.184 10.530 90.00 90.00 120.00
Sites, in units of the cell vectors:
Tb (0.000, 0.000, 0.250)
Tb (0.000, 0.000, 0.750)
Tb (0.333, 0.667, 0.028)
Tb (0.333, 0.667, 0.472)
Tb (0.667, 0.333, 0.528)
Tb (0.667, 0.333, 0.972)
Ge (0.063, 0.524, 0.750)
Ge (0.461, 0.937, 0.750)
Ge (0.476, 0.539, 0.750)
Ge (0.524, 0.063, 0.250)
Ge (0.539, 0.476, 0.250)
Ge (0.937, 0.461, 0.250)
O (0.000, 0.307, 0.000)
O (0.000, 0.307, 0.500)
O (0.307, 0.000, 0.000)
O (0.307, 0.000, 0.500)
O (0.693, 0.693, 0.000)
O (0.693, 0.693, 0.500)

Calculated values
The value obtained for the uncorrected formation energy is -142.1 kJ/mol of atoms. Its volume is 19.37 Å³ per atom. The space group is P-62c, No. 190.